A) Entry from Alexandria: an optimized crystal structure of KBa2Ca (GGA-PBEsol).

Geometry as POSCAR:
```
KBa2Ca
1.0
2.362 -3.359 0.000
2.362 3.359 0.000
0.000 0.000 13.902
K Ba Ca
1 2 1
direct
0.000 0.000 0.000
0.500 0.500 0.271
0.500 0.500 0.729
0.000 0.000 0.500
```

---

B) Entry from Alexandria: an optimized crystal structure of KBa2Ca (GGA-PBEsol).

Geometry as POSCAR:
```
KBa2Ca
1.0
2.114 1.220 14.287
-2.114 1.220 14.287
0.000 -2.441 14.287
K Ba Ca
1 2 1
direct
0.000 0.000 0.000
0.243 0.243 0.243
0.757 0.757 0.757
0.500 0.500 0.500
```

---

It is B) that is the most stable of them.

---

A) Entry from Alexandria: an optimized crystal structure of Ba2CaLa (GGA-PBEsol).

Geometry as POSCAR:
```
Ba2CaLa
1.0
2.201 -3.184 0.000
2.201 3.184 0.000
0.000 0.000 12.966
Ba Ca La
2 1 1
direct
0.000 0.000 0.246
0.000 0.000 0.754
0.500 0.500 0.500
0.500 0.500 0.000
```

---

B) Entry from Alexandria: an optimized crystal structure of Ba2CaLa (GGA-PBEsol).

Geometry as POSCAR:
```
Ba2CaLa
1.0
3.939 0.000 0.000
0.000 5.719 0.000
0.000 0.000 8.081
Ba Ca La
2 1 1
direct
0.000 0.000 0.000
0.500 0.500 0.283
0.000 0.000 0.538
0.500 0.500 0.764
```

---

It is A) that is the most stable of them.

---

A) Entry from Alexandria: an optimized crystal structure of Ba2Li2Ca (GGA-PBEsol).

Geometry as POSCAR:
```
Ba2Li2Ca
1.0
10.168 0.000 0.000
0.000 10.168 0.000
0.000 0.000 3.818
Ba Li Ca
4 4 2
direct
0.137 0.363 0.000
0.363 0.863 0.000
0.637 0.137 0.000
0.863 0.637 0.000
0.162 0.662 0.500
0.338 0.162 0.500
0.662 0.838 0.500
0.838 0.338 0.500
0.000 0.000 0.000
0.500 0.500 0.000
```

---

B) Entry from Alexandria: an optimized crystal structure of Ba2Li2Ca (GGA-PBEsol).

Geometry as POSCAR:
```
Ba2Li2Ca
1.0
9.191 0.000 0.000
0.000 9.191 0.000
0.000 0.000 4.935
Ba Li Ca
4 4 2
direct
0.178 0.322 0.000
0.322 0.822 0.000
0.678 0.178 0.000
0.822 0.678 0.000
0.117 0.617 0.500
0.383 0.117 0.500
0.617 0.883 0.500
0.883 0.383 0.500
0.000 0.000 0.500
0.500 0.500 0.500
```

---

C) Entry from Alexandria: an optimized crystal structure of Ba2Li2Ca (GGA-PBEsol).

Geometry as POSCAR:
```
Ba2Li2Ca
1.0
-2.018 2.018 12.434
2.018 -2.018 12.434
2.018 2.018 -12.434
Ba Li Ca
2 2 1
direct
0.125 0.125 0.000
0.875 0.875 0.000
0.250 0.750 0.500
0.750 0.250 0.500
0.500 0.500 0.000
```

---

It is B) that is the most stable of them.

---

A) Entry from Alexandria: an optimized crystal structure of BaCaMg2 (GGA-PBEsol).

Geometry as POSCAR:
```
BaCaMg2
1.0
0.000 4.006 4.006
4.006 0.000 4.006
4.006 4.006 0.000
Ba Ca Mg
1 1 2
direct
0.000 0.000 0.000
0.750 0.750 0.750
0.250 0.250 0.250
0.500 0.500 0.500
```

---

B) Entry from Alexandria: an optimized crystal structure of BaCaMg2 (GGA-PBEsol).

Geometry as POSCAR:
```
BaCaMg2
1.0
5.862 0.000 0.000
0.000 5.862 0.000
0.000 0.000 4.025
Ba Ca Mg
1 1 2
direct
0.000 0.000 0.000
0.500 0.500 0.000
0.000 0.500 0.500
0.500 0.000 0.500
```

---

C) Entry from Alexandria: an optimized crystal structure of BaCaMg2 (GGA-PBEsol).

Geometry as POSCAR:
```
BaCaMg2
1.0
6.473 -1.885 0.000
6.473 1.885 0.000
-2.197 0.000 5.673
Ba Ca Mg
1 1 2
direct
0.000 0.000 0.000
0.204 0.204 0.654
0.454 0.454 0.469
0.759 0.759 0.204
```

---

It is B) that is the most stable of them.

---

A) Entry from Alexandria: an optimized crystal structure of BaCaMg2 (GGA-PBEsol).

Geometry as POSCAR:
```
BaCaMg2
1.0
0.000 4.101 4.101
4.101 0.000 4.101
4.101 4.101 0.000
Ba Ca Mg
1 1 2
direct
0.000 0.000 0.000
0.500 0.500 0.500
0.250 0.250 0.250
0.750 0.750 0.750
```

---

B) Entry from Alexandria: an optimized crystal structure of BaCaMg2 (GGA-PBEsol).

Geometry as POSCAR:
```
BaCaMg2
1.0
3.896 0.000 0.000
0.000 3.896 0.000
0.000 0.000 9.262
Ba Ca Mg
1 1 2
direct
0.000 0.000 0.000
0.500 0.500 0.348
0.000 0.000 0.570
0.500 0.500 0.732
```

---

It is A) that is the most stable of them.

---

A) Entry from Alexandria: an optimized crystal structure of BaCaMg2 (GGA-PBEsol).

Geometry as POSCAR:
```
BaCaMg2
1.0
4.099 0.000 0.000
0.000 4.099 0.000
0.000 0.000 8.232
Ba Ca Mg
1 1 2
direct
0.000 0.000 0.000
0.000 0.000 0.500
0.500 0.500 0.283
0.500 0.500 0.717
```

---

B) Entry from Alexandria: an optimized crystal structure of BaCaMg2 (GGA-PBEsol).

Geometry as POSCAR:
```
BaCaMg2
1.0
-1.954 2.985 5.937
1.954 -2.985 5.937
1.954 2.985 -5.937
Ba Ca Mg
1 1 2
direct
0.000 0.000 0.000
0.294 0.794 0.500
0.541 0.541 0.000
0.738 0.238 0.500
```

---

It is A) that is the most stable of them.